Computed, not measured: an optimized crystal structure of Rb2TbDySe4 at the PBE level of DFT.

abc: 7.363 4.251 8.362
angles: 90.00 107.06 90.00
Fractional positions:
Rb1 0.000 0.000 0.000
Rb2 0.500 0.500 0.000
Tb1 0.000 0.500 0.500
Dy1 0.500 0.000 0.500
Se1 0.233 0.000 0.696
Se2 0.269 0.500 0.304
Se3 0.731 0.500 0.696
Se4 0.767 0.000 0.304

Results
**Calculated volume**: 31.28 Å³ per atom
**DOS at the Fermi energy**: 0.0 states/eV per cell
**Symmetry**: P2/m (10)
**Uncorrected formation energy**: -1.741 eV/atom